Sr2MoW: optimized geometry, PBE-GGA.

abc: 11.2988 11.2988 11.2988
angles: 15.74 15.74 15.74
With the nearest neighbours (Å) after each atom.
Atoms (fractional coordinates):
Sr (0.0002, 0.0002, 0.0002)  6 Sr 3.09, 3 Mo 3.31, 3 W 3.32
W (0.2500, 0.2500, 0.2500)  6 W 3.09, 6 Sr 3.32
Sr (0.4998, 0.4998, 0.4998)  6 Sr 3.09, 3 Mo 3.31, 3 W 3.32
Mo (0.7500, 0.7500, 0.7500)  6 Mo 3.09, 6 Sr 3.31

=====

Sr2MoW: optimized geometry, PBE-GGA.

abc: 6.4068 6.4068 6.4068
angles: 147.67 126.70 63.73
With the nearest neighbours (Å) after each atom.
Atoms (fractional coordinates):
W (0.5506, 0.5506, 0.0000)  2 Mo 2.41
Mo (0.6992, 0.1992, 0.5000)  2 W 2.41
Sr (0.9779, 0.9779, 0.0000)  4 W 3.47, 4 Mo 3.52-3.75, 6 Sr 3.57-3.67
Sr (0.2723, 0.7723, 0.5000)  4 Mo 3.47, 4 W 3.51-3.75, 6 Sr 3.57-3.67

=====

SrMo3W: optimized geometry, PBE-GGA.

abc: 4.9219 4.9219 4.9219
angles: 90.00 90.00 90.00
With the nearest neighbours (Å) after each atom.
Atoms (fractional coordinates):
Sr (0.5000, 0.5000, 0.5000)  12 Mo 3.48
Mo (0.5000, 0.0000, 0.0000)  2 W 2.46
Mo (0.0000, 0.5000, 0.0000)  2 W 2.46
Mo (0.0000, 0.0000, 0.5000)  2 W 2.46
W (0.0000, 0.0000, 0.0000)  6 Mo 2.46

=====

| no. | E (Ry per atom) | calculated formation energy (eV per atom) |
| --- | --- | --- |
| 1 | -0.389 | 1.4996 |
| 2 | -0.441 | 0.7890 |
| 3 | -0.589 | 1.4104 |